1.
NaYH2 after structural relaxation, computed with GGA-PBE.

Properties
- energy above the most stable polymorph in this dataset (meV per atom) = 0
- symmetry = I-42d, No. 122
- E (eV per cell) = -30.16
- density of states at the Fermi level (states/eV/atom) = 0.40

Cell: 5.219 5.219 6.721 Å, 67.15 67.15 90.00°
Sites, in units of the cell vectors:
Na1 0.250 0.750 0.500
Na2 0.500 0.500 0.000
H1 0.020 0.625 0.250
H2 0.375 0.270 0.750
H3 0.875 0.980 0.750
H4 0.730 0.125 0.250
Y1 0.000 0.000 0.000
Y2 0.750 0.250 0.500

2.
Na2YH6 after structural relaxation, computed with GGA-PBE.

Properties
- symmetry = Fm-3m, No. 225
- E (eV per cell) = -27.09
- density of states at the Fermi level (states/eV/atom) = 0.44

Cell: 5.623 5.623 5.623 Å, 60.00 60.00 60.00°
Sites, in units of the cell vectors:
H1 0.267 0.733 0.267
H2 0.733 0.267 0.733
H3 0.733 0.267 0.267
H4 0.733 0.733 0.267
H5 0.267 0.733 0.733
H6 0.267 0.267 0.733
Na1 0.750 0.750 0.750
Na2 0.250 0.250 0.250
Y1 0.000 0.000 0.000

3.
NaYH2 after structural relaxation, computed with GGA-PBE.

Properties
- energy above the most stable polymorph in this dataset (meV per atom) = 239
- symmetry = Fm-3m, No. 225
- E (eV per cell) = -14.12
- density of states at the Fermi level (states/eV/atom) = 0.66

Cell: 4.236 4.236 4.236 Å, 60.00 60.00 60.00°
Sites, in units of the cell vectors:
Y1 0.500 0.500 0.500
Na1 0.000 0.000 0.000
H1 0.250 0.250 0.250
H2 0.750 0.750 0.750

4.
Na3YH after structural relaxation, computed with GGA-PBE.

Properties
- symmetry = Pm-3m, No. 221
- E (eV per cell) = -11.73
- density of states at the Fermi level (states/eV/atom) = 0.73

Cell: 5.115 5.115 5.115 Å, 90.00 90.00 90.00°
Sites, in units of the cell vectors:
Na1 0.000 0.000 0.500
Na2 0.500 0.000 0.000
Na3 0.000 0.500 0.000
H1 0.000 0.000 0.000
Y1 0.500 0.500 0.500

5.
Na3ZnH after structural relaxation, computed with GGA-PBE.

Properties
- energy above the most stable polymorph in this dataset (meV per atom) = 0
- symmetry = Pm-3m, No. 221
- E (eV per cell) = -8.28
- density of states at the Fermi level (states/eV/atom) = 0.58

Cell: 4.759 4.759 4.759 Å, 90.00 90.00 90.00°
Sites, in units of the cell vectors:
Na1 0.000 0.000 0.500
Na2 0.000 0.500 0.000
Na3 0.500 0.000 0.000
Zn1 0.500 0.500 0.500
H1 0.000 0.000 0.000

6.
Na4ZnH5 after structural relaxation, computed with GGA-PBE.

Properties
- symmetry = I4, No. 79
- E (eV per cell) = -23.65
- density of states at the Fermi level (states/eV/atom) = 0.17

Cell: 4.786 5.736 5.736 Å, 79.98 65.34 65.34°
Sites, in units of the cell vectors:
H1 0.100 0.626 0.192
H2 0.917 0.374 0.808
H3 0.292 0.808 0.626
H4 0.390 0.000 0.000
H5 0.726 0.192 0.374
Na1 0.810 0.806 0.603
Na2 0.616 0.603 0.194
Na3 0.219 0.194 0.397
Na4 0.413 0.397 0.806
Zn1 0.028 0.000 0.000

7.
NaZn2H2 after structural relaxation, computed with GGA-PBE.

Properties
- energy above the most stable polymorph in this dataset (meV per atom) = 255
- symmetry = P4/mbm, No. 127
- E (eV per cell) = -16.17
- density of states at the Fermi level (states/eV/atom) = 0.38

Cell: 6.714 6.714 3.030 Å, 90.00 90.00 90.00°
Sites, in units of the cell vectors:
Zn1 0.369 0.131 0.500
Zn2 0.131 0.631 0.500
Zn3 0.869 0.369 0.500
Zn4 0.631 0.869 0.500
H1 0.872 0.628 0.000
H2 0.372 0.872 0.000
H3 0.128 0.372 0.000
H4 0.628 0.128 0.000
Na1 0.500 0.500 0.000
Na2 0.000 0.000 0.000

8.
Na2ZnH2 after structural relaxation, computed with GGA-PBE.

Properties
- energy above the most stable polymorph in this dataset (meV per atom) = 115
- symmetry = P4/mbm, No. 127
- E (eV per cell) = -19.08
- density of states at the Fermi level (states/eV/atom) = 0.00

Cell: 7.294 7.294 3.059 Å, 90.00 90.00 90.00°
Sites, in units of the cell vectors:
Na1 0.361 0.861 0.000
Na2 0.139 0.361 0.000
Na3 0.639 0.139 0.000
Na4 0.861 0.639 0.000
Zn1 0.000 0.000 0.000
Zn2 0.500 0.500 0.000
H1 0.146 0.646 0.500
H2 0.354 0.146 0.500
H3 0.646 0.854 0.500
H4 0.854 0.354 0.500

9.
NaZnH2 after structural relaxation, computed with GGA-PBE.

Properties
- energy above the most stable polymorph in this dataset (meV per atom) = 170
- symmetry = I-42d, No. 122
- E (eV per cell) = -17.77
- density of states at the Fermi level (states/eV/atom) = 0.14

Cell: 4.559 4.559 6.039 Å, 67.82 67.82 90.00°
Sites, in units of the cell vectors:
H1 0.738 0.125 0.250
H2 0.012 0.625 0.250
H3 0.375 0.262 0.750
H4 0.875 0.988 0.750
Na1 0.500 0.500 0.000
Na2 0.250 0.750 0.500
Zn1 0.750 0.250 0.500
Zn2 0.000 0.000 0.000

10.
NaZnH after structural relaxation, computed with GGA-PBE.

Properties
- symmetry = P1, No. 1
- E (eV per cell) = -11.43
- density of states at the Fermi level (states/eV/atom) = 0.21

Cell: 3.191 4.723 12.010 Å, 91.27 81.65 45.11°
Sites, in units of the cell vectors:
Zn1 0.731 0.901 0.732
Zn2 0.590 0.476 0.849
H1 0.146 0.702 0.324
H2 0.205 0.672 0.259
Na1 0.944 0.290 0.555
Na2 0.377 0.087 0.026

11.
Na3Zn5H12 after structural relaxation, computed with GGA-PBE.

Properties
- symmetry = Ia-3d, No. 230
- E (eV per cell) = -201.05
- density of states at the Fermi level (states/eV/atom) = 0.02

Cell: 10.353 10.353 10.353 Å, 109.47 109.47 109.47°
Sites, in units of the cell vectors:
Na1 0.375 0.625 0.250
Na2 0.625 0.250 0.375
Na3 0.375 0.750 0.625
Na4 0.625 0.375 0.750
Na5 0.750 0.375 0.125
Na6 0.875 0.750 0.125
Na7 0.125 0.875 0.750
Na8 0.250 0.125 0.375
Na9 0.250 0.625 0.875
Na10 0.750 0.875 0.625
Na11 0.875 0.125 0.250
Na12 0.125 0.250 0.875
H1 0.101 0.918 0.110
H2 0.899 0.082 0.890
H3 0.582 0.692 0.683
H4 0.390 0.399 0.082
H5 0.610 0.601 0.918
H6 0.491 0.683 0.101
H7 0.509 0.192 0.110
H8 0.918 0.817 0.808
H9 0.308 0.418 0.817
H10 0.808 0.491 0.390
H11 0.610 0.009 0.192
H12 0.192 0.509 0.610
H13 0.317 0.509 0.399
H14 0.683 0.491 0.601
H15 0.183 0.082 0.692
H16 0.491 0.808 0.890
H17 0.683 0.192 0.582
H18 0.399 0.390 0.582
H19 0.808 0.317 0.918
H20 0.582 0.890 0.399
H21 0.899 0.817 0.509
H22 0.101 0.183 0.491
H23 0.601 0.610 0.418
H24 0.192 0.683 0.082
H25 0.418 0.110 0.601
H26 0.509 0.317 0.899
H27 0.082 0.899 0.390
H28 0.890 0.308 0.491
H29 0.399 0.009 0.317
H30 0.082 0.183 0.192
H31 0.110 0.692 0.509
H32 0.009 0.399 0.817
H33 0.692 0.582 0.183
H34 0.601 0.991 0.683
H35 0.890 0.582 0.899
H36 0.317 0.808 0.418
H37 0.009 0.610 0.692
H38 0.308 0.890 0.991
H39 0.110 0.418 0.101
H40 0.692 0.110 0.009
H41 0.418 0.308 0.317
H42 0.390 0.991 0.808
H43 0.918 0.101 0.610
H44 0.991 0.601 0.183
H45 0.817 0.918 0.308
H46 0.991 0.390 0.308
H47 0.183 0.101 0.991
H48 0.817 0.899 0.009
Zn1 0.000 0.500 0.000
Zn2 0.750 0.625 0.375
Zn3 0.750 0.125 0.875
Zn4 0.250 0.375 0.625
Zn5 0.625 0.875 0.250
Zn6 0.000 0.000 0.000
Zn7 0.875 0.625 0.750
Zn8 0.500 0.000 0.500
Zn9 0.000 0.000 0.500
Zn10 0.375 0.250 0.125
Zn11 0.500 0.000 0.000
Zn12 0.000 0.500 0.500
Zn13 0.500 0.500 0.000
Zn14 0.125 0.375 0.250
Zn15 0.875 0.250 0.625
Zn16 0.375 0.125 0.750
Zn17 0.625 0.750 0.875
Zn18 0.125 0.750 0.375
Zn19 0.500 0.500 0.500
Zn20 0.250 0.875 0.125

12.
Na3Zn2H8 after structural relaxation, computed with GGA-PBE.

Properties
- symmetry = R-3m, No. 166
- E (eV per cell) = -32.79
- density of states at the Fermi level (states/eV/atom) = 0.26

Cell: 5.218 5.218 6.898 Å, 67.77 67.77 60.00°
Sites, in units of the cell vectors:
H1 0.742 0.212 0.304
H2 0.672 0.672 0.983
H3 0.328 0.328 0.017
H4 0.788 0.258 0.696
H5 0.212 0.742 0.304
H6 0.742 0.742 0.304
H7 0.258 0.258 0.696
H8 0.258 0.788 0.696
Zn1 0.584 0.584 0.247
Zn2 0.416 0.416 0.753
Na1 0.794 0.794 0.618
Na2 0.206 0.206 0.382
Na3 0.000 0.000 0.000

13.
Na2Zn2H5 after structural relaxation, computed with GGA-PBE.

Properties
- symmetry = C2/m, No. 12
- E (eV per cell) = -21.60
- density of states at the Fermi level (states/eV/atom) = 0.08

Cell: 3.925 5.714 5.316 Å, 110.20 90.00 110.09°
Sites, in units of the cell vectors:
Na1 0.611 0.221 0.328
Na2 0.389 0.779 0.672
H1 0.663 0.326 0.930
H2 0.000 0.000 0.000
H3 0.337 0.674 0.070
H4 0.849 0.699 0.431
H5 0.151 0.301 0.569
Zn1 0.153 0.305 0.886
Zn2 0.847 0.695 0.114

14.
NaZnH2 after structural relaxation, computed with GGA-PBE.

Properties
- energy above the most stable polymorph in this dataset (meV per atom) = 414
- symmetry = R-3m, No. 166
- E (eV per cell) = -7.91
- density of states at the Fermi level (states/eV/atom) = 0.35

Cell: 3.132 3.132 6.518 Å, 76.10 76.10 60.00°
Sites, in units of the cell vectors:
H1 0.878 0.878 0.365
H2 0.122 0.122 0.635
Na1 0.000 0.000 0.000
Zn1 0.500 0.500 0.500

15.
Na2Zn2H7 after structural relaxation, computed with GGA-PBE.

Properties
- symmetry = C2/m, No. 12
- E (eV per cell) = -27.85
- density of states at the Fermi level (states/eV/atom) = 0.15

Cell: 4.869 5.759 5.759 Å, 118.76 95.55 95.55°
Sites, in units of the cell vectors:
H1 0.723 0.070 0.362
H2 0.277 0.930 0.638
H3 0.277 0.638 0.930
H4 0.798 0.576 0.576
H5 0.723 0.362 0.070
H6 0.202 0.424 0.424
H7 0.000 0.000 0.000
Zn1 0.129 0.737 0.737
Zn2 0.871 0.263 0.263
Na1 0.500 0.308 0.692
Na2 0.500 0.692 0.308

16.
NaZn2H5 after structural relaxation, computed with GGA-PBE.

Properties
- symmetry = Cmcm, No. 63
- E (eV per cell) = -40.55
- density of states at the Fermi level (states/eV/atom) = 0.00

Cell: 4.255 6.531 8.059 Å, 90.00 90.00 109.01°
Sites, in units of the cell vectors:
H1 0.078 0.155 0.558
H2 0.288 0.576 0.750
H3 0.285 0.570 0.083
H4 0.078 0.155 0.942
H5 0.922 0.845 0.058
H6 0.285 0.570 0.417
H7 0.715 0.430 0.583
H8 0.715 0.430 0.917
H9 0.712 0.424 0.250
H10 0.922 0.845 0.442
Zn1 0.795 0.591 0.081
Zn2 0.205 0.409 0.581
Zn3 0.205 0.409 0.919
Zn4 0.795 0.591 0.419
Na1 0.059 0.118 0.250
Na2 0.941 0.882 0.750

17.
NaZnH2 after structural relaxation, computed with GGA-PBE.

Properties
- energy above the most stable polymorph in this dataset (meV per atom) = 408
- symmetry = Fm-3m, No. 225
- E (eV per cell) = -7.93
- density of states at the Fermi level (states/eV/atom) = 0.12

Cell: 4.005 4.005 4.005 Å, 60.00 60.00 60.00°
Sites, in units of the cell vectors:
H1 0.250 0.250 0.250
H2 0.750 0.750 0.750
Zn1 0.500 0.500 0.500
Na1 0.000 0.000 0.000

18.
NaZnH2 after structural relaxation, computed with GGA-PBE.

Properties
- energy above the most stable polymorph in this dataset (meV per atom) = 192
- symmetry = Cm, No. 8
- E (eV per cell) = -8.80
- density of states at the Fermi level (states/eV/atom) = 0.10

Cell: 3.397 3.398 5.573 Å, 72.30 72.29 60.24°
Sites, in units of the cell vectors:
Na1 0.736 0.181 0.690
Zn1 0.242 0.686 0.172
H1 0.132 0.577 0.502
H2 0.595 0.040 0.113

19.
Na2ZnH5 after structural relaxation, computed with GGA-PBE.

Properties
- symmetry = Cmcm, No. 63
- E (eV per cell) = -39.17
- density of states at the Fermi level (states/eV/atom) = 0.27

Cell: 3.856 5.743 9.651 Å, 90.00 90.00 109.62°
Sites, in units of the cell vectors:
Zn1 0.837 0.674 0.750
Zn2 0.163 0.326 0.250
H1 0.050 0.100 0.373
H2 0.323 0.646 0.750
H3 0.728 0.456 0.880
H4 0.050 0.100 0.127
H5 0.677 0.354 0.250
H6 0.272 0.544 0.380
H7 0.272 0.544 0.120
H8 0.950 0.900 0.627
H9 0.950 0.900 0.873
H10 0.728 0.456 0.620
Na1 0.145 0.291 0.922
Na2 0.145 0.291 0.578
Na3 0.855 0.709 0.422
Na4 0.855 0.709 0.078

20.
Na2ZnH2 after structural relaxation, computed with GGA-PBE.

Properties
- energy above the most stable polymorph in this dataset (meV per atom) = 0
- symmetry = P4/mbm, No. 127
- E (eV per cell) = -20.23
- density of states at the Fermi level (states/eV/atom) = 0.00

Cell: 6.769 6.769 3.057 Å, 90.00 90.00 90.00°
Sites, in units of the cell vectors:
Zn1 0.000 0.000 0.000
Zn2 0.500 0.500 0.000
H1 0.847 0.653 0.000
H2 0.153 0.347 0.000
H3 0.653 0.153 0.000
H4 0.347 0.847 0.000
Na1 0.847 0.347 0.500
Na2 0.153 0.653 0.500
Na3 0.347 0.153 0.500
Na4 0.653 0.847 0.500

21.
Na2ZnH2 after structural relaxation, computed with GGA-PBE.

Properties
- energy above the most stable polymorph in this dataset (meV per atom) = 22
- symmetry = I4/mmm, No. 139
- E (eV per cell) = -10.00
- density of states at the Fermi level (states/eV/atom) = 0.00

Cell: 4.308 4.308 6.100 Å, 69.32 69.32 90.00°
Sites, in units of the cell vectors:
Na1 0.693 0.693 0.615
Na2 0.307 0.307 0.385
Zn1 0.000 0.000 0.000
H1 0.750 0.250 0.500
H2 0.250 0.750 0.500